[1]
Below is a relaxed TaZn2Cu crystal, with properties calculated at the GGA-PBEsol level.

```
TaZn2Cu
1.0
-1.049 2.573 0.309
-1.995 -0.588 -1.869
-4.217 -2.350 5.241
Zn Cu Ta
2 1 1
Cartesian
-0.935 -0.521 1.162 Zn
-3.282 -1.829 4.079 Zn
-1.522 0.992 -0.780 Cu
-3.630 -0.182 1.841 Ta
```

Values from the calculation:
Uncorrected energy (eV/cell): -20.31
Offset from the most stable computed form (eV/atom): 0.0000
Energy relative to the elements (eV per atom): -0.064


[2]
Below is a relaxed TaZn3Cu crystal, with properties calculated at the GGA-PBEsol level.

```
TaZn3Cu
1.0
-1.207 4.516 1.509
-4.298 -0.363 -2.351
-2.049 -1.898 4.041
Zn Cu Ta
3 1 1
Cartesian
-0.604 2.258 0.755 Zn
-2.149 -0.182 -1.175 Zn
-1.025 -0.949 2.020 Zn
-3.777 1.127 1.600 Cu
0.000 0.000 0.000 Ta
```

Values from the calculation:
Uncorrected energy (eV/cell): -13.81
Energy relative to the elements (eV per atom): 1.564


[3]
Below is a relaxed ZrTa2Cu crystal, with properties calculated at the GGA-PBEsol level.

```
ZrTa2Cu
1.0
4.586 0.000 0.000
2.293 3.972 0.000
2.293 1.324 3.744
Cu Zr Ta
1 1 2
Cartesian
4.586 2.648 1.872 Cu
2.293 1.324 0.936 Zr
0.000 0.000 0.000 Ta
6.879 3.972 2.808 Ta
```

Values from the calculation:
Uncorrected energy (eV/cell): -38.01
Offset from the most stable computed form (eV/atom): 0.0845
Energy relative to the elements (eV per atom): 0.130


[4]
Below is a relaxed ZrTaCu crystal, with properties calculated at the GGA-PBEsol level.

```
ZrTaCu
1.0
-3.438 -2.167 1.697
0.346 -1.939 3.939
-2.153 1.656 3.466
Zr Ta Cu
1 1 1
Cartesian
0.000 0.000 0.000 Zr
-1.311 -0.612 2.276 Ta
-2.622 -1.225 4.551 Cu
```

Values from the calculation:
Uncorrected energy (eV/cell): -22.47
Offset from the most stable computed form (eV/atom): 1.1313
Energy relative to the elements (eV per atom): 1.170


[5]
Below is a relaxed ZrTa2Cu crystal, with properties calculated at the GGA-PBEsol level.

```
ZrTa2Cu
1.0
-0.535 2.181 2.449
1.234 -2.165 2.198
5.691 2.367 -0.864
Zr Ta Cu
1 2 1
Cartesian
2.893 1.204 -0.439 Zr
1.675 0.560 2.122 Ta
5.667 2.357 -0.861 Ta
4.691 1.814 1.664 Cu
```

Values from the calculation:
Uncorrected energy (eV/cell): -38.35
Offset from the most stable computed form (eV/atom): 0.0000
Energy relative to the elements (eV per atom): 0.045


[6]
Below is a relaxed Zr2TaCu crystal, with properties calculated at the GGA-PBEsol level.

```
Zr2TaCu
1.0
3.076 0.000 0.000
0.000 4.868 0.000
-1.538 -2.434 4.927
Cu Ta Zr
1 1 2
Cartesian
1.538 2.434 0.110 Cu
0.000 2.434 2.239 Ta
1.538 0.000 2.668 Zr
1.538 2.434 4.837 Zr
```

Values from the calculation:
Uncorrected energy (eV/cell): -34.72
Offset from the most stable computed form (eV/atom): 0.0000
Energy relative to the elements (eV per atom): 0.087


[7]
Below is a relaxed Zr2TaCu crystal, with properties calculated at the GGA-PBEsol level.

```
Zr2TaCu
1.0
3.099 0.000 0.000
1.549 2.684 0.000
1.549 0.895 9.088
Ta Zr Cu
1 2 1
Cartesian
0.000 0.000 0.000 Ta
4.648 2.684 6.689 Zr
1.549 0.895 2.398 Zr
3.099 1.789 4.544 Cu
```

Values from the calculation:
Uncorrected energy (eV/cell): -34.25
Offset from the most stable computed form (eV/atom): 0.1164
Energy relative to the elements (eV per atom): 0.203


[8]
Below is a relaxed Zr2TaCu crystal, with properties calculated at the GGA-PBEsol level.

```
Zr2TaCu
1.0
3.041 0.000 0.000
0.000 3.651 0.000
0.000 0.000 6.499
Zr Cu Ta
2 1 1
Cartesian
1.521 1.825 1.777 Zr
0.000 0.000 6.411 Zr
0.000 0.000 3.338 Cu
1.521 1.825 4.721 Ta
```

Values from the calculation:
Uncorrected energy (eV/cell): -34.69
Offset from the most stable computed form (eV/atom): 0.0071
Energy relative to the elements (eV per atom): 0.094


[9]
Below is a relaxed ZrTaCu crystal, with properties calculated at the GGA-PBEsol level.

```
ZrTaCu
1.0
2.888 0.034 0.000
-0.030 2.888 0.000
-1.429 -1.461 6.085
Zr Ta Cu
1 1 1
Cartesian
0.000 0.000 4.158 Zr
1.429 1.461 1.858 Ta
0.000 0.000 0.069 Cu
```

Values from the calculation:
Uncorrected energy (eV/cell): -25.86
Offset from the most stable computed form (eV/atom): 0.0000
Energy relative to the elements (eV per atom): 0.038


[10]
Below is a relaxed TbCu3Te3 crystal, with properties calculated at the GGA-PBEsol level.

```
TbCu3Te3
1.0
7.309 0.000 0.000
3.655 6.330 0.000
3.655 2.110 6.876
Cu Te Tb
6 6 2
Cartesian
8.536 2.355 2.585 Cu
8.312 6.215 2.585 Cu
5.081 4.091 2.585 Cu
9.538 4.350 4.291 Cu
6.307 2.226 4.291 Cu
6.083 6.085 4.291 Cu
8.698 2.066 5.182 Te
9.869 4.345 1.694 Te
4.750 4.095 5.182 Te
8.481 6.499 5.182 Te
5.921 6.374 1.694 Te
6.138 1.941 1.694 Te
7.309 4.220 0.063 Tb
7.310 4.220 6.813 Tb
```

Values from the calculation:
Uncorrected energy (eV/cell): -64.03
Formation energy without anion corrections (eV per atom): -0.489


[11]
Below is a relaxed Tb7Cu3Te12 crystal, with properties calculated at the GGA-PBEsol level.

```
Tb7Cu3Te12
1.0
7.395 -0.045 0.017
-3.658 6.432 -0.017
-1.202 -2.089 13.795
Te Tb Cu
12 7 3
Cartesian
-1.121 2.162 8.446 Te
2.530 4.258 1.702 Te
2.478 0.030 1.707 Te
2.476 -0.037 8.487 Te
0.079 4.330 12.068 Te
-0.016 4.216 5.356 Te
2.508 4.326 8.481 Te
-1.232 2.144 1.739 Te
0.052 -0.006 12.072 Te
-0.040 0.098 5.339 Te
3.706 2.142 12.104 Te
3.801 2.136 5.351 Te
4.926 -0.071 3.519 Tb
-1.172 2.164 13.757 Tb
1.265 2.152 3.507 Tb
-2.389 4.260 10.258 Tb
4.976 0.042 10.281 Tb
-2.427 4.356 3.494 Tb
1.261 2.155 10.266 Tb
2.457 -0.005 5.837 Cu
2.486 4.297 5.831 Cu
3.769 2.133 8.092 Cu
```

Values from the calculation:
Uncorrected energy (eV/cell): -114.76
Formation energy without anion corrections (eV per atom): -1.108


[12]
Below is a relaxed CuTc3 crystal, with properties calculated at the GGA-PBEsol level.

```
CuTc3
1.0
4.310 0.000 0.000
0.000 4.626 0.000
0.000 0.000 5.321
Tc Cu
6 2
Cartesian
0.000 3.062 2.660 Tc
0.000 0.798 1.328 Tc
2.155 3.829 3.988 Tc
0.000 0.798 3.993 Tc
2.155 3.829 1.333 Tc
2.155 1.565 0.000 Tc
2.155 1.538 2.660 Cu
0.000 3.089 0.000 Cu
```

Values from the calculation:
Uncorrected energy (eV/cell): -75.54
Offset from the most stable computed form (eV/atom): 0.0065
Energy relative to the elements (eV per atom): 0.090